1.
VASP calculation (PBE-GGA) on a relaxed structure of KFe2Cu.

Summary:
* total moment: 1.323 μB per atom
* DFT total energy: -4.323 eV per atom

```
data_KFe2Cu
_chemical_formula_sum 'K4 Fe8 Cu4'
_cell_length_a 6.498
_cell_length_b 6.498
_cell_length_c 6.498
_cell_angle_alpha 90.00
_cell_angle_beta 90.00
_cell_angle_gamma 90.00
_space_group_name_H-M_alt 'F -4 3 m'
_space_group_IT_number 216
_space_group_name_Hall 'F -4 2 3'
loop_
_atom_site_label
_atom_site_type_symbol
_atom_site_fract_x
_atom_site_fract_y
_atom_site_fract_z
K1 K 0.000 0.000 0.000
Fe1 Fe 0.000 0.000 0.500
Fe2 Fe 0.250 0.250 0.250
Cu1 Cu 0.250 0.250 0.750
```

2.
VASP calculation (PBE-GGA) on a relaxed structure of Zr2Pd13.

Summary:
* total moment: 0.000 μB per atom
* DFT total energy: -5.606 eV per atom

```
data_Zr2Pd13
_chemical_formula_sum 'Zr6 Pd39'
_cell_length_a 7.2939
_cell_length_b 7.2939
_cell_length_c 19.8977
_cell_angle_alpha 90.00
_cell_angle_beta 90.00
_cell_angle_gamma 120.00
_space_group_name_H-M_alt 'R -3 m'
_space_group_IT_number 166
_space_group_name_Hall '-R 3 2"'
loop_
_atom_site_label
_atom_site_type_symbol
_atom_site_fract_x
_atom_site_fract_y
_atom_site_fract_z
Zr1 Zr 0.0000 0.0000 0.2427
Pd1 Pd 0.0000 0.0000 0.0000
Pd2 Pd 0.0774 0.5387 0.5605
Pd3 Pd 0.0875 0.5438 0.3071
```

Repeat the second record exactly.
VASP calculation (PBE-GGA) on a relaxed structure of Zr2Pd13.

Summary:
* total moment: 0.000 μB per atom
* DFT total energy: -5.606 eV per atom

```
data_Zr2Pd13
_chemical_formula_sum 'Zr6 Pd39'
_cell_length_a 7.2939
_cell_length_b 7.2939
_cell_length_c 19.8977
_cell_angle_alpha 90.00
_cell_angle_beta 90.00
_cell_angle_gamma 120.00
_space_group_name_H-M_alt 'R -3 m'
_space_group_IT_number 166
_space_group_name_Hall '-R 3 2"'
loop_
_atom_site_label
_atom_site_type_symbol
_atom_site_fract_x
_atom_site_fract_y
_atom_site_fract_z
Zr1 Zr 0.0000 0.0000 0.2427
Pd1 Pd 0.0000 0.0000 0.0000
Pd2 Pd 0.0774 0.5387 0.5605
Pd3 Pd 0.0875 0.5438 0.3071
```

Repeat the first record exactly.
VASP calculation (PBE-GGA) on a relaxed structure of KFe2Cu.

Summary:
* total moment: 1.323 μB per atom
* DFT total energy: -4.323 eV per atom

```
data_KFe2Cu
_chemical_formula_sum 'K4 Fe8 Cu4'
_cell_length_a 6.498
_cell_length_b 6.498
_cell_length_c 6.498
_cell_angle_alpha 90.00
_cell_angle_beta 90.00
_cell_angle_gamma 90.00
_space_group_name_H-M_alt 'F -4 3 m'
_space_group_IT_number 216
_space_group_name_Hall 'F -4 2 3'
loop_
_atom_site_label
_atom_site_type_symbol
_atom_site_fract_x
_atom_site_fract_y
_atom_site_fract_z
K1 K 0.000 0.000 0.000
Fe1 Fe 0.000 0.000 0.500
Fe2 Fe 0.250 0.250 0.250
Cu1 Cu 0.250 0.250 0.750
```

- Among the records above, which one has the highest DFT total energy?
  KFe2Cu

- The lowest total moment belongs to which entry?
  Zr2Pd13